Below is an optimized crystal structure of AcNd3Sm5, with properties calculated at the GGA-PBE level.

```
data_AcNd3Sm5
_chemical_formula_sum 'Ac2 Nd6 Sm10'
_space_group_name_H-M_alt 'P 1'
_space_group_IT_number 1
_cell_length_a 8.6472
_cell_length_b 8.6472
_cell_length_c 14.1277
_cell_angle_alpha 57.96
_cell_angle_beta 57.96
_cell_angle_gamma 84.15
loop_
_space_group_symop_operation_xyz
'x,y,z'
loop_
_atom_site_label
_atom_site_type_symbol
_atom_site_fract_x
_atom_site_fract_y
_atom_site_fract_z
Nd1 Nd 0.0000 0.0000 0.5000
Nd2 Nd 0.3308 0.3308 0.1708
Nd3 Nd 0.0000 0.0000 0.0000
Nd4 Nd 0.6692 0.6692 0.8292
Nd5 Nd 0.3372 0.3372 0.6820
Nd6 Nd 0.6628 0.6628 0.3180
Sm1 Sm 0.0491 0.5530 0.5899
Sm2 Sm 0.6514 0.6514 0.0875
Sm3 Sm 0.7438 0.2562 0.0000
Sm4 Sm 0.4470 0.9509 0.4101
Sm5 Sm 0.2562 0.7438 0.0000
Sm6 Sm 0.3411 0.3411 0.4205
Sm7 Sm 0.5530 0.0491 0.5899
Sm8 Sm 0.6589 0.6589 0.5795
Sm9 Sm 0.3486 0.3486 0.9125
Sm10 Sm 0.9509 0.4470 0.4101
Ac1 Ac 0.9994 0.9994 0.7493
Ac2 Ac 0.0006 0.0006 0.2507
```

E_form (kJ per mole of atoms): 49
Space group: C2/m
Magnetization (μB per cell): 0.0
Energy above the lowest structure with this stoichiometry (meV per atom): 436